# 1
## YCu2S (PBE-GGA)

Data for a geometry-optimized YCu2S structure.

Lattice parameters (Å, degrees): 7.4391 7.4391 5.2482 90.00 90.00 90.00
Sites, in units of the cell vectors:
Y  0.0000  0.0000  0.0000
Y  0.0000  0.5000  0.2500
Y  0.5000  0.0000  0.7500
Y  0.5000  0.5000  0.5000
Cu  0.1921  0.7500  0.6250
Cu  0.2500  0.1921  0.3750
Cu  0.2500  0.3079  0.8750
Cu  0.3079  0.7500  0.1250
Cu  0.6921  0.2500  0.1250
Cu  0.7500  0.6921  0.8750
Cu  0.7500  0.8079  0.3750
Cu  0.8079  0.2500  0.6250
S  0.0000  0.0000  0.5000
S  0.0000  0.5000  0.7500
S  0.5000  0.0000  0.2500
S  0.5000  0.5000  0.0000

Calculated values
Formation energy from raw total energies: -0.401 eV/atom
Volume: 72.6 Å³/f.u.
Space group: No. 122
Total energy: -5.0971 eV/atom
DOS(E_F): 11.71 states/eV per cell

***

# 2
## YCuS (PBE-GGA)

Data for a geometry-optimized YCuS structure.

Lattice parameters (Å, degrees): 7.9695 7.9695 7.9695 32.16 32.16 32.16
Sites, in units of the cell vectors:
Y  0.0841  0.0841  0.0841
Y  0.9159  0.9159  0.9159
Cu  0.3275  0.3275  0.3275
Cu  0.6725  0.6725  0.6725
S  0.2143  0.2143  0.2143
S  0.7857  0.7857  0.7857

Calculated values
Formation energy from raw total energies: -1.094 eV/atom
Volume: 63.7 Å³/f.u.
Space group: No. 166
Total energy: -5.9900 eV/atom
DOS(E_F): 2.00 states/eV per cell

***

# 3
## Y5CuS4 (PBE-GGA)

Data for a geometry-optimized Y5CuS4 structure.

Lattice parameters (Å, degrees): 6.8942 6.8942 9.7406 118.69 118.69 32.83
Sites, in units of the cell vectors:
Y  0.0000  0.0000  0.0000
Y  0.1978  0.1978  0.7976
Y  0.3986  0.3986  0.6016
Y  0.6014  0.6014  0.3984
Y  0.8022  0.8022  0.2024
Cu  0.0000  0.0000  0.5000
S  0.1992  0.1992  0.2973
S  0.3978  0.3978  0.0939
S  0.6022  0.6022  0.9061
S  0.8008  0.8008  0.7027

Calculated values
Formation energy from raw total energies: -1.642 eV/atom
Volume: 217.3 Å³/f.u.
Space group: No. 12
Total energy: -6.9344 eV/atom
DOS(E_F): 5.18 states/eV per cell

***

What did the third record say?
## Y5CuS4 (PBE-GGA)

Data for a geometry-optimized Y5CuS4 structure.

Lattice parameters (Å, degrees): 6.8942 6.8942 9.7406 118.69 118.69 32.83
Sites, in units of the cell vectors:
Y  0.0000  0.0000  0.0000
Y  0.1978  0.1978  0.7976
Y  0.3986  0.3986  0.6016
Y  0.6014  0.6014  0.3984
Y  0.8022  0.8022  0.2024
Cu  0.0000  0.0000  0.5000
S  0.1992  0.1992  0.2973
S  0.3978  0.3978  0.0939
S  0.6022  0.6022  0.9061
S  0.8008  0.8008  0.7027

Calculated values
Formation energy from raw total energies: -1.642 eV/atom
Volume: 217.3 Å³/f.u.
Space group: No. 12
Total energy: -6.9344 eV/atom
DOS(E_F): 5.18 states/eV per cell

***

> volume of number 1 (YCu2S)?

72.6 Å³/f.u.

***

> Which value of total energy does entry 1 give?

-5.0971 eV/atom